No. 1
Compound: YNi6
Source: Alexandria via LeMat-Bulk
Functional: PBE-GGA
Structure: optimized geometry

Values from the calculation:
Crystal system: cubic
Energy relative to the lowest polymorph listed for this composition: 1095 meV/atom
SG: Pm-3m, No. 221
DFT formation energy: 0.897 eV per atom
N(E_F): 7.9 states/eV per cell
Theoretical density: 5.0 g/cm³

The structure in POSCAR format:
```
YNi6
1.0
5.287 0.000 0.000
0.000 5.287 0.000
0.000 0.000 5.287
Y Ni
1 6
Direct
0.000 0.000 0.000
0.197 0.500 0.500
0.500 0.197 0.500
0.500 0.500 0.197
0.500 0.500 0.803
0.500 0.803 0.500
0.803 0.500 0.500
```


No. 2
Compound: TbPm2Y
Source: Alexandria via LeMat-Bulk
Functional: PBE-GGA
Structure: optimized geometry

Values from the calculation:
Crystal system: trigonal
Energy relative to the lowest polymorph listed for this composition: 0 meV/atom
SG: R3m, No. 160
DFT formation energy: 0.012 eV per atom
N(E_F): 5.9 states/eV per cell
Theoretical density: 6.7 g/cm³

The structure in POSCAR format:
```
TbPm2Y
1.0
1.814 1.047 11.689
-1.814 1.047 11.689
0.000 -2.094 11.689
Tb Pm Y
1 2 1
Direct
0.000 0.000 0.000
0.417 0.417 0.417
0.584 0.584 0.584
0.167 0.167 0.167
```


No. 3
Compound: BaSrMg2Br8
Source: Alexandria via LeMat-Bulk
Functional: PBE-GGA
Structure: optimized geometry

Values from the calculation:
Crystal system: trigonal
SG: P-3, No. 147
Formation energy from raw total energies: -1.711 eV/atom
N(E_F): 0.0 states/eV per cell
Theoretical density: 3.4 g/cm³

The structure in POSCAR format:
```
BaSrMg2Br8
1.0
7.060 0.000 0.000
-3.530 6.114 0.000
0.000 0.000 10.211
Ba Sr Mg Br
1 1 2 8
Direct
0.000 0.000 0.000
0.000 0.000 0.500
0.333 0.667 0.769
0.667 0.333 0.231
0.001 0.313 0.707
0.312 0.999 0.707
0.313 0.312 0.293
0.333 0.667 0.010
0.667 0.333 0.990
0.687 0.688 0.707
0.688 0.001 0.293
0.999 0.687 0.293
```


No. 4
Compound: Mn2MoIr
Source: Alexandria via LeMat-Bulk
Functional: PBE-GGA
Structure: optimized geometry

Values from the calculation:
Crystal system: orthorhombic
SG: Cmmm, No. 65
DFT formation energy: 0.020 eV per atom
N(E_F): 4.3 states/eV per cell
Theoretical density: 12.5 g/cm³

The structure in POSCAR format:
```
Mn2MoIr
1.0
2.694 -3.664 0.000
2.694 3.664 0.000
0.000 0.000 2.689
Mn Mo Ir
2 1 1
Direct
0.000 0.500 0.000
0.500 0.000 0.000
0.000 0.000 0.500
0.500 0.500 0.500
```


No. 5
Compound: PrGePRh3
Source: Alexandria via LeMat-Bulk
Functional: PBE-GGA
Structure: optimized geometry

Values from the calculation:
Crystal system: orthorhombic
SG: Cmcm, No. 63
DFT formation energy: -0.778 eV per atom
N(E_F): 4.4 states/eV per cell
Theoretical density: 7.8 g/cm³

The structure in POSCAR format:
```
PrGePRh3
1.0
2.850 -7.311 0.000
2.850 7.311 0.000
0.000 0.000 5.680
Pr Ge P Rh
2 2 2 6
Direct
0.204 0.796 0.750
0.796 0.204 0.250
0.403 0.597 0.250
0.597 0.403 0.750
0.081 0.919 0.250
0.919 0.081 0.750
0.236 0.764 0.250
0.245 0.245 0.000
0.245 0.245 0.500
0.755 0.755 0.000
0.755 0.755 0.500
0.764 0.236 0.750
```


No. 6
Compound: AcSnPb
Source: Alexandria via LeMat-Bulk
Functional: PBE-GGA
Structure: optimized geometry

Values from the calculation:
Crystal system: orthorhombic
Energy relative to the lowest polymorph listed for this composition: 0 meV/atom
SG: Immm, No. 71
DFT formation energy: -0.429 eV per atom
N(E_F): 2.9 states/eV per cell
Theoretical density: 8.9 g/cm³

The structure in POSCAR format:
```
AcSnPb
1.0
-2.612 4.418 4.476
2.612 -4.418 4.476
2.612 4.418 -4.476
Ac Sn Pb
2 2 2
Direct
0.249 0.000 0.249
0.751 0.000 0.751
0.163 0.663 0.500
0.837 0.337 0.500
0.329 0.329 0.000
0.671 0.671 0.000
```


No. 7
Compound: K2Sm2SiO6
Source: Alexandria via LeMat-Bulk
Functional: PBE-GGA
Structure: optimized geometry

Values from the calculation:
Crystal system: monoclinic
SG: C2/m, No. 12
Formation energy from raw total energies: -2.524 eV/atom
N(E_F): 0.0 states/eV per cell
Theoretical density: 4.6 g/cm³

The structure in POSCAR format:
```
K2Sm2SiO6
1.0
2.901 -4.941 0.000
2.901 4.941 0.000
-1.585 0.000 6.369
K Sm Si O
2 2 1 6
Direct
0.156 0.844 0.000
0.844 0.156 0.000
0.335 0.665 0.500
0.665 0.335 0.500
0.000 0.000 0.500
0.042 0.322 0.662
0.218 0.218 0.337
0.322 0.042 0.662
0.678 0.958 0.338
0.782 0.782 0.663
0.958 0.678 0.338
```


No. 8
Compound: NbZnPt
Source: Alexandria via LeMat-Bulk
Functional: PBE-GGA
Structure: optimized geometry

Values from the calculation:
Crystal system: hexagonal
SG: P6/mmm, No. 191
DFT formation energy: -0.435 eV per atom
N(E_F): 1.2 states/eV per cell
Theoretical density: 12.2 g/cm³

The structure in POSCAR format:
```
NbZnPt
1.0
4.588 0.000 0.000
-2.294 3.973 0.000
0.000 0.000 5.271
Nb Zn Pt
2 2 2
Direct
0.000 0.000 0.238
0.000 0.000 0.762
0.333 0.667 0.500
0.667 0.333 0.500
0.333 0.667 0.000
0.667 0.333 0.000
```


No. 9
Compound: Ca4InAgHg2
Source: Alexandria via LeMat-Bulk
Functional: PBE-GGA
Structure: optimized geometry

Values from the calculation:
Crystal system: trigonal
SG: R-3m, No. 166
DFT formation energy: -0.472 eV per atom
N(E_F): 5.7 states/eV per cell
Theoretical density: 6.0 g/cm³

The structure in POSCAR format:
```
Ca4InAgHg2
1.0
2.673 1.543 8.806
-2.673 1.543 8.806
0.000 -3.087 8.806
Ca In Ag Hg
4 1 1 2
Direct
0.123 0.123 0.123
0.373 0.373 0.373
0.627 0.627 0.627
0.877 0.877 0.877
0.500 0.500 0.500
0.000 0.000 0.000
0.248 0.248 0.248
0.752 0.752 0.752
```


No. 10
Compound: AcNd2Si
Source: Alexandria via LeMat-Bulk
Functional: PBE-GGA
Structure: optimized geometry

Values from the calculation:
Crystal system: tetragonal
Energy relative to the lowest polymorph listed for this composition: 0 meV/atom
SG: P4/mmm, No. 123
Formation energy from raw total energies: -0.217 eV/atom
N(E_F): 5.3 states/eV per cell
Theoretical density: 7.3 g/cm³

The structure in POSCAR format:
```
AcNd2Si
1.0
3.925 0.000 0.000
0.000 3.925 0.000
0.000 0.000 8.010
Ac Nd Si
1 2 1
Direct
0.000 0.000 0.000
0.500 0.500 0.314
0.500 0.500 0.686
0.000 0.000 0.500
```


No. 11
Compound: CaLaPmSm
Source: Alexandria via LeMat-Bulk
Functional: PBE-GGA
Structure: optimized geometry

Values from the calculation:
Crystal system: cubic
Energy relative to the lowest polymorph listed for this composition: 92 meV/atom
SG: F-43m, No. 216
DFT formation energy: 0.128 eV per atom
N(E_F): 7.5 states/eV per cell
Theoretical density: 5.4 g/cm³

The structure in POSCAR format:
```
CaLaPmSm
1.0
0.000 4.181 4.181
4.181 0.000 4.181
4.181 4.181 0.000
Ca La Pm Sm
1 1 1 1
Direct
0.000 0.000 0.000
0.250 0.250 0.250
0.500 0.500 0.500
0.750 0.750 0.750
```


No. 12
Compound: In2GaSb2
Source: Alexandria via LeMat-Bulk
Functional: PBE-GGA
Structure: optimized geometry

Values from the calculation:
Crystal system: tetragonal
Energy relative to the lowest polymorph listed for this composition: 42 meV/atom
SG: I4/mmm, No. 139
Formation energy from raw total energies: 0.157 eV/atom
N(E_F): 2.4 states/eV per cell
Theoretical density: 5.9 g/cm³

The structure in POSCAR format:
```
In2GaSb2
1.0
-2.304 2.304 7.211
2.304 -2.304 7.211
2.304 2.304 -7.211
In Ga Sb
2 1 2
Direct
0.250 0.750 0.500
0.750 0.250 0.500
0.000 0.000 0.000
0.390 0.390 0.000
0.610 0.610 0.000
```


No. 13
Compound: Cs3Rb4MgH8
Source: Alexandria via LeMat-Bulk
Functional: PBE-GGA
Structure: optimized geometry

Values from the calculation:
Crystal system: trigonal
SG: R-3m, No. 166
N(E_F): 2.6 states/eV per cell
Electronic total energy: -36.281 eV for the cell shown
Theoretical density: 3.1 g/cm³

The structure in POSCAR format:
```
Cs3Rb4MgH8
1.0
4.205 2.428 6.763
-4.205 2.428 6.763
0.000 -4.856 6.763
Cs Rb Mg H
3 4 1 8
Direct
0.000 0.500 0.500
0.500 0.000 0.500
0.500 0.500 0.000
0.000 0.000 0.500
0.000 0.500 0.000
0.500 0.000 0.000
0.500 0.500 0.500
0.000 0.000 0.000
0.178 0.817 0.817
0.183 0.183 0.822
0.183 0.822 0.183
0.243 0.243 0.243
0.757 0.757 0.757
0.817 0.178 0.817
0.817 0.817 0.178
0.822 0.183 0.183
```


No. 14
Compound: Pu5As4O
Source: Alexandria via LeMat-Bulk
Functional: PBE-GGA
Structure: optimized geometry

Values from the calculation:
Crystal system: tetragonal
SG: I4, No. 79
Formation energy from raw total energies: -1.198 eV/atom
N(E_F): 46.6 states/eV per cell
Theoretical density: 11.1 g/cm³

The structure in POSCAR format:
```
Pu5As4O
1.0
-4.470 4.470 2.884
4.470 -4.470 2.884
4.470 4.470 -2.884
Pu As O
5 4 1
Direct
0.000 0.000 0.000
0.229 0.407 0.636
0.407 0.771 0.178
0.593 0.229 0.822
0.771 0.593 0.364
0.088 0.695 0.783
0.305 0.088 0.394
0.695 0.912 0.606
0.912 0.305 0.217
0.500 0.500 0.000
```


No. 15
Compound: Na6CrN4
Source: Alexandria via LeMat-Bulk
Functional: PBE-GGA
Structure: optimized geometry

Values from the calculation:
Crystal system: tetragonal
SG: P4_2/nmc, No. 137
Formation energy from raw total energies: -0.140 eV/atom
Theoretical density: 2.6 g/cm³

The structure in POSCAR format:
```
Na6CrN4
1.0
7.334 0.000 0.000
0.000 7.334 0.000
0.000 0.000 5.789
Na Cr N
12 2 8
Direct
0.043 0.543 0.250
0.043 0.957 0.250
0.250 0.250 0.094
0.250 0.250 0.594
0.457 0.543 0.250
0.457 0.957 0.250
0.543 0.043 0.750
0.543 0.457 0.750
0.750 0.750 0.406
0.750 0.750 0.906
0.957 0.043 0.750
0.957 0.457 0.750
0.250 0.750 0.750
0.750 0.250 0.250
0.044 0.750 0.582
0.250 0.544 0.918
0.250 0.956 0.918
0.456 0.750 0.582
0.544 0.250 0.418
0.750 0.044 0.082
0.750 0.456 0.082
0.956 0.250 0.418
```


No. 16
Compound: FeNiAu3
Source: Alexandria via LeMat-Bulk
Functional: PBE-GGA
Structure: optimized geometry

Values from the calculation:
Crystal system: cubic
Energy relative to the lowest polymorph listed for this composition: 0 meV/atom
SG: Pm-3m, No. 221
DFT formation energy: 0.990 eV per atom
N(E_F): 10.4 states/eV per cell
Theoretical density: 11.1 g/cm³

The structure in POSCAR format:
```
FeNiAu3
1.0
4.721 0.000 0.000
0.000 4.721 0.000
0.000 0.000 4.721
Fe Ni Au
1 1 3
Direct
0.000 0.000 0.000
0.500 0.500 0.500
0.000 0.500 0.500
0.500 0.000 0.500
0.500 0.500 0.000
```


No. 17
Compound: Ca2POs
Source: Alexandria via LeMat-Bulk
Functional: PBE-GGA
Structure: optimized geometry

Values from the calculation:
Crystal system: orthorhombic
SG: Pmmm, No. 47
DFT formation energy: 0.041 eV per atom
N(E_F): 2.2 states/eV per cell
Theoretical density: 6.3 g/cm³

The structure in POSCAR format:
```
Ca2POs
1.0
3.031 0.000 0.000
0.000 4.090 0.000
0.000 0.000 6.404
Ca P Os
2 1 1
Direct
0.000 0.000 0.246
0.000 0.000 0.754
0.500 0.500 0.000
0.500 0.500 0.500
```


No. 18
Compound: TiCu4Sb
Source: Alexandria via LeMat-Bulk
Functional: PBE-GGA
Structure: optimized geometry

Values from the calculation:
Crystal system: cubic
SG: F-43m, No. 216
Formation energy from raw total energies: 0.052 eV/atom
N(E_F): 6.1 states/eV per cell
Theoretical density: 7.9 g/cm³

The structure in POSCAR format:
```
TiCu4Sb
1.0
0.000 3.538 3.538
3.538 0.000 3.538
3.538 3.538 0.000
Ti Cu Sb
1 4 1
Direct
0.000 0.000 0.000
0.374 0.374 0.374
0.374 0.374 0.877
0.374 0.877 0.374
0.877 0.374 0.374
0.750 0.750 0.750
```


No. 19
Compound: Li2OsPb
Source: Alexandria via LeMat-Bulk
Functional: PBE-GGA
Structure: optimized geometry

Values from the calculation:
Crystal system: monoclinic
SG: C2/m, No. 12
DFT formation energy: 0.362 eV per atom
N(E_F): 2.2 states/eV per cell
Theoretical density: 10.1 g/cm³

The structure in POSCAR format:
```
Li2OsPb
1.0
2.750 -4.351 0.000
2.750 4.351 0.000
-0.153 0.000 2.833
Li Os Pb
2 1 1
Direct
0.000 0.500 0.000
0.500 0.000 0.000
0.000 0.000 0.500
0.500 0.500 0.500
```


No. 20
Compound: Yb2Ni12P7
Source: Alexandria via LeMat-Bulk
Functional: PBE-GGA
Structure: optimized geometry

Values from the calculation:
Crystal system: hexagonal
SG: P-6, No. 174
DFT formation energy: -0.727 eV per atom
N(E_F): 21.5 states/eV per cell
Theoretical density: 8.1 g/cm³

The structure in POSCAR format:
```
Yb2Ni12P7
1.0
9.080 0.000 0.000
-4.540 7.863 0.000
0.000 0.000 3.651
Yb Ni P
2 12 7
Direct
0.000 0.000 0.000
0.333 0.667 0.500
0.048 0.763 0.500
0.098 0.391 0.000
0.237 0.285 0.500
0.293 0.902 0.000
0.393 0.214 0.000
0.544 0.117 0.500
0.574 0.456 0.500
0.609 0.707 0.000
0.715 0.952 0.500
0.786 0.179 0.000
0.821 0.607 0.000
0.883 0.426 0.500
0.077 0.628 0.000
0.261 0.040 0.500
0.372 0.449 0.000
0.551 0.923 0.000
0.667 0.333 0.000
0.779 0.739 0.500
0.960 0.221 0.500
```


No. 21
Compound: VNi12Pt6
Source: Alexandria via LeMat-Bulk
Functional: PBE-GGA
Structure: optimized geometry

Values from the calculation:
Crystal system: trigonal
SG: R-3, No. 148
DFT formation energy: 0.001 eV per atom
N(E_F): 30.8 states/eV per cell
Theoretical density: 12.9 g/cm³

The structure in POSCAR format:
```
VNi12Pt6
1.0
4.552 2.628 3.467
-4.552 2.628 3.467
0.000 -5.256 3.467
V Ni Pt
1 12 6
Direct
0.000 0.000 0.000
0.056 0.145 0.369
0.145 0.369 0.056
0.216 0.461 0.542
0.369 0.056 0.145
0.458 0.784 0.539
0.461 0.542 0.216
0.539 0.458 0.784
0.542 0.216 0.461
0.631 0.944 0.855
0.784 0.539 0.458
0.855 0.631 0.944
0.944 0.855 0.631
0.121 0.739 0.285
0.261 0.715 0.879
0.285 0.121 0.739
0.715 0.879 0.261
0.739 0.285 0.121
0.879 0.261 0.715
```


No. 22
Compound: ZrTiZnRu2
Source: Alexandria via LeMat-Bulk
Functional: PBE-GGA
Structure: optimized geometry

Values from the calculation:
Crystal system: tetragonal
SG: P4/mmm, No. 123
DFT formation energy: 0.860 eV per atom
N(E_F): 4.9 states/eV per cell
Theoretical density: 6.8 g/cm³

The structure in POSCAR format:
```
ZrTiZnRu2
1.0
4.510 0.000 0.000
0.000 4.510 0.000
0.000 0.000 4.866
Zr Ti Zn Ru
1 1 1 2
Direct
0.000 0.000 0.000
0.000 0.000 0.500
0.500 0.500 0.000
0.000 0.500 0.500
0.500 0.000 0.500
```


No. 23
Compound: Li2Os
Source: Alexandria via LeMat-Bulk
Functional: PBE-GGA
Structure: optimized geometry

Values from the calculation:
Crystal system: orthorhombic
SG: Pnma, No. 62
DFT formation energy: 0.242 eV per atom
N(E_F): 3.9 states/eV per cell
Theoretical density: 8.3 g/cm³

The structure in POSCAR format:
```
Li2Os
1.0
4.423 0.000 0.000
0.000 4.584 0.000
0.000 0.000 8.043
Li Os
8 4
Direct
0.157 0.250 0.022
0.166 0.250 0.339
0.334 0.750 0.839
0.343 0.750 0.522
0.657 0.250 0.478
0.666 0.250 0.161
0.834 0.750 0.661
0.843 0.750 0.978
0.119 0.250 0.686
0.381 0.750 0.186
0.619 0.250 0.814
0.881 0.750 0.314
```


No. 24
Compound: ScInFe2
Source: Alexandria via LeMat-Bulk
Functional: PBE-GGA
Structure: optimized geometry

Values from the calculation:
Crystal system: trigonal
SG: R3m, No. 160
DFT formation energy: 0.204 eV per atom
N(E_F): 2.5 states/eV per cell
Theoretical density: 6.4 g/cm³

The structure in POSCAR format:
```
ScInFe2
1.0
1.554 0.897 8.372
-1.554 0.897 8.372
0.000 -1.795 8.372
Sc In Fe
1 1 2
Direct
0.000 0.000 0.000
0.770 0.770 0.770
0.254 0.254 0.254
0.524 0.524 0.524
```